Entry 1:
VASP calculation (PBE) on a geometry-optimized KMnZn2Br8 structure.

Lattice parameters (Å, degrees): 11.0593 11.0593 11.0593 34.63 34.63 34.63
Positions (direct):
K: 0.0000 0.0000 0.0000
Mn: 0.5000 0.5000 0.5000
Zn: 0.2390 0.2390 0.2390
Zn: 0.7610 0.7610 0.7610
Br: 0.1462 0.4308 0.7770
Br: 0.2230 0.8538 0.5692
Br: 0.3153 0.3153 0.3153
Br: 0.4308 0.7770 0.1462
Br: 0.5692 0.2230 0.8538
Br: 0.6847 0.6847 0.6847
Br: 0.7770 0.1462 0.4308
Br: 0.8538 0.5692 0.2230

Properties
Space group ... R-3, No. 148
ΔE_f (raw) ... -884 meV/atom
Spin magnetization ... 4.00 μB/cell
Mass density ... 3.681 g/cm³

=====

Entry 2:
VASP calculation (PBE) on a geometry-optimized KMnZnBr5 structure.

Lattice parameters (Å, degrees): 7.6470 7.6470 9.7983 103.57 103.57 105.66
Positions (direct):
K: 0.1559 0.8441 0.7500
K: 0.8441 0.1559 0.2500
Mn: 0.5000 0.5000 0.0000
Mn: 0.5000 0.5000 0.5000
Zn: 0.1861 0.8139 0.2500
Zn: 0.8139 0.1861 0.7500
Br: 0.1229 0.2578 0.9373
Br: 0.1826 0.5896 0.3913
Br: 0.2578 0.1229 0.4373
Br: 0.4104 0.8174 0.1087
Br: 0.4273 0.5727 0.7500
Br: 0.5727 0.4273 0.2500
Br: 0.5896 0.1826 0.8913
Br: 0.7422 0.8771 0.5627
Br: 0.8174 0.4104 0.6087
Br: 0.8771 0.7422 0.0627

Properties
Space group ... C2/c, No. 15
ΔE_f (raw) ... -1050 meV/atom
Spin magnetization ... 10.00 μB/cell
Mass density ... 3.651 g/cm³

=====

Entry 3:
VASP calculation (PBE) on a geometry-optimized K8Zr6MnBr20 structure.

Lattice parameters (Å, degrees): 11.8077 11.8077 11.8077 60.00 60.00 60.00
Positions (direct):
K: 0.1399 0.1399 0.1399
K: 0.1399 0.1399 0.5802
K: 0.1399 0.5802 0.1399
K: 0.4198 0.8601 0.8601
K: 0.5802 0.1399 0.1399
K: 0.8601 0.4198 0.8601
K: 0.8601 0.8601 0.4198
K: 0.8601 0.8601 0.8601
Zr: 0.3540 0.3540 0.6460
Zr: 0.3540 0.6460 0.3540
Zr: 0.3540 0.6460 0.6460
Zr: 0.6460 0.3540 0.3540
Zr: 0.6460 0.3540 0.6460
Zr: 0.6460 0.6460 0.3540
Mn: 0.5000 0.5000 0.5000
Br: 0.1689 0.5000 0.5000
Br: 0.1689 0.5000 0.8311
Br: 0.1689 0.8311 0.5000
Br: 0.1802 0.1802 0.8198
Br: 0.1802 0.8198 0.1802
Br: 0.1802 0.8198 0.8198
Br: 0.2500 0.2500 0.2500
Br: 0.5000 0.1689 0.5000
Br: 0.5000 0.1689 0.8311
Br: 0.5000 0.5000 0.1689
Br: 0.5000 0.5000 0.8311
Br: 0.5000 0.8311 0.1689
Br: 0.5000 0.8311 0.5000
Br: 0.7500 0.7500 0.7500
Br: 0.8198 0.1802 0.1802
Br: 0.8198 0.1802 0.8198
Br: 0.8198 0.8198 0.1802
Br: 0.8311 0.1689 0.5000
Br: 0.8311 0.5000 0.1689
Br: 0.8311 0.5000 0.5000

Properties
Space group ... Fm-3m, No. 225
ΔE_f (raw) ... -1484 meV/atom
Spin magnetization ... 0.00 μB/cell
Mass density ... 3.585 g/cm³

=====

Entry 4:
VASP calculation (PBE) on a geometry-optimized KMoBr6 structure.

Lattice parameters (Å, degrees): 7.0286 7.0286 11.5440 92.52 92.52 84.60
Positions (direct):
K: 0.0195 0.9805 0.7500
K: 0.9805 0.0195 0.2500
Mo: 0.0000 0.5000 0.5000
Mo: 0.5000 0.0000 0.0000
Br: 0.0855 0.5265 0.2911
Br: 0.1770 0.1941 0.0047
Br: 0.1941 0.1770 0.5047
Br: 0.2918 0.6565 0.5665
Br: 0.3435 0.7082 0.9335
Br: 0.4735 0.9145 0.2089
Br: 0.5265 0.0855 0.7911
Br: 0.6565 0.2918 0.0665
Br: 0.7082 0.3435 0.4335
Br: 0.8059 0.8230 0.4953
Br: 0.8230 0.8059 0.9953
Br: 0.9145 0.4735 0.7089

Properties
Space group ... C2/c, No. 15
ΔE_f (raw) ... -780 meV/atom
Spin magnetization ... 2.00 μB/cell
Mass density ... 3.601 g/cm³

=====

Entry 5:
VASP calculation (PBE) on a geometry-optimized K2MoBr5 structure.

Lattice parameters (Å, degrees): 7.3106 7.3106 7.3106 114.37 114.37 100.07
Positions (direct):
K: 0.0000 0.5000 0.5000
K: 0.5000 0.0000 0.5000
Mo: 0.2750 0.2750 0.0000
Br: 0.0152 0.0152 0.5412
Br: 0.0152 0.4741 0.0000
Br: 0.4741 0.0152 0.0000
Br: 0.4741 0.4741 0.4588
Br: 0.5357 0.5357 0.0000

Properties
Space group ... I4mm, No. 107
ΔE_f (raw) ... -1053 meV/atom
Spin magnetization ... 3.00 μB/cell
Mass density ... 3.231 g/cm³

=====

Entry 6:
VASP calculation (PBE) on a geometry-optimized K3MoBr structure.

Lattice parameters (Å, degrees): 6.2998 6.2998 6.2998 90.00 90.00 90.00
Positions (direct):
K: 0.0000 0.0000 0.5000
K: 0.0000 0.5000 0.0000
K: 0.5000 0.0000 0.0000
Mo: 0.5000 0.5000 0.5000
Br: 0.0000 0.0000 0.0000

Properties
Space group ... Pm-3m, No. 221
ΔE_f (raw) ... 338 meV/atom
Spin magnetization ... 5.75 μB/cell
Mass density ... 1.947 g/cm³

=====

Entry 7:
VASP calculation (PBE) on a geometry-optimized K2MoBr2 structure.

Lattice parameters (Å, degrees): 8.9330 8.9330 4.1430 90.00 90.00 90.00
Positions (direct):
K: 0.1485 0.3515 0.0000
K: 0.3515 0.8515 0.0000
K: 0.6485 0.1485 0.0000
K: 0.8515 0.6485 0.0000
Mo: 0.0000 0.0000 0.5000
Mo: 0.5000 0.5000 0.5000
Br: 0.1566 0.6566 0.5000
Br: 0.3434 0.1566 0.5000
Br: 0.6566 0.8434 0.5000
Br: 0.8434 0.3434 0.5000

Properties
Space group ... P4/mbm, No. 127
ΔE_f (raw) ... -201 meV/atom
Spin magnetization ... 10.29 μB/cell
Mass density ... 3.355 g/cm³

=====

Entry 8:
VASP calculation (PBE) on a geometry-optimized K2MoBr4 structure.

Lattice parameters (Å, degrees): 8.7064 8.7064 8.7064 103.22 103.22 122.85
Positions (direct):
K: 0.2339 0.2339 0.4678
K: 0.2339 0.7661 0.0000
K: 0.7661 0.2339 0.0000
K: 0.7661 0.7661 0.5322
Mo: 0.3708 0.3708 0.0000
Mo: 0.6292 0.6292 0.0000
Br: 0.0485 0.2814 0.7671
Br: 0.2814 0.0485 0.7671
Br: 0.2814 0.5143 0.2329
Br: 0.4857 0.7186 0.7671
Br: 0.5143 0.2814 0.2329
Br: 0.7186 0.4857 0.7671
Br: 0.7186 0.9515 0.2329
Br: 0.9515 0.7186 0.2329

Properties
Space group ... I4/mmm, No. 139
ΔE_f (raw) ... -1206 meV/atom
Spin magnetization ... 0.00 μB/cell
Mass density ... 3.368 g/cm³

=====

Entry 9:
VASP calculation (PBE) on a geometry-optimized K2MoBr6 structure.

Lattice parameters (Å, degrees): 7.4771 7.7606 12.8494 90.00 125.17 90.00
Positions (direct):
K: 0.2313 0.0639 0.2496
K: 0.2313 0.4361 0.7496
K: 0.7687 0.5639 0.2504
K: 0.7687 0.9361 0.7504
Mo: 0.5000 0.0000 0.0000
Mo: 0.5000 0.5000 0.5000
Br: 0.1882 0.1903 0.9655
Br: 0.1882 0.3097 0.4655
Br: 0.2796 0.7281 0.9704
Br: 0.2796 0.7719 0.4704
Br: 0.3252 0.0046 0.7606
Br: 0.3252 0.4954 0.2606
Br: 0.6748 0.5046 0.7394
Br: 0.6748 0.9954 0.2394
Br: 0.7204 0.2281 0.5296
Br: 0.7204 0.2719 0.0296
Br: 0.8118 0.6903 0.5345
Br: 0.8118 0.8097 0.0345

Properties
Space group ... P2_1/c, No. 14
ΔE_f (raw) ... -1084 meV/atom
Spin magnetization ... 4.00 μB/cell
Mass density ... 3.561 g/cm³

=====

Entry 10:
VASP calculation (PBE) on a geometry-optimized KMoBr2 structure.

Lattice parameters (Å, degrees): 4.1783 4.1783 7.5249 90.00 90.00 90.00
Positions (direct):
K: 0.0000 0.0000 0.0000
Mo: 0.5000 0.5000 0.4641
Br: 0.0000 0.0000 0.4380
Br: 0.5000 0.5000 0.8391

Properties
Space group ... P4mm, No. 99
ΔE_f (raw) ... -127 meV/atom
Spin magnetization ... 4.89 μB/cell
Mass density ... 3.727 g/cm³

=====

Entry 11:
VASP calculation (PBE) on a geometry-optimized KMoBr6 structure.

Lattice parameters (Å, degrees): 6.4586 6.4586 8.0774 109.45 109.45 94.28
Positions (direct):
K: 0.0000 0.0000 0.0000
Mo: 0.5000 0.5000 0.5000
Br: 0.1934 0.5724 0.2466
Br: 0.2187 0.2187 0.5047
Br: 0.4276 0.8066 0.7534
Br: 0.5724 0.1934 0.2466
Br: 0.7813 0.7813 0.4953
Br: 0.8066 0.4276 0.7534

Properties
Space group ... C2/m, No. 12
ΔE_f (raw) ... -758 meV/atom
Spin magnetization ... 1.00 μB/cell
Mass density ... 3.483 g/cm³

=====

Entry 12:
VASP calculation (PBE) on a geometry-optimized KMoBr2 structure.

Lattice parameters (Å, degrees): 7.6413 7.6413 4.2526 90.05 90.05 31.29
Positions (direct):
K: 0.0000 0.0000 0.0000
Mo: 0.7754 0.7754 0.5001
Br: 0.2998 0.2998 0.0004
Br: 0.5861 0.5861 0.5005

Properties
Space group ... Cm, No. 8
ΔE_f (raw) ... -132 meV/atom
Spin magnetization ... 4.96 μB/cell
Mass density ... 3.797 g/cm³

=====

Entry 13:
VASP calculation (PBE) on a geometry-optimized KMoBr2 structure.

Lattice parameters (Å, degrees): 5.7399 5.7399 4.0014 104.62 104.62 89.16
Positions (direct):
K: 0.0000 0.0000 0.0000
Mo: 0.5000 0.5000 0.0000
Br: 0.0000 0.5000 0.5000
Br: 0.5000 0.0000 0.5000

Properties
Space group ... C2/m, No. 12
ΔE_f (raw) ... -48 meV/atom
Spin magnetization ... 4.98 μB/cell
Mass density ... 3.972 g/cm³

=====

Entry 14:
VASP calculation (PBE) on a geometry-optimized KMoBr2 structure.

Lattice parameters (Å, degrees): 4.1555 4.1555 8.0570 90.00 90.00 112.77
Positions (direct):
K: 0.0000 0.0000 0.0000
Mo: 0.0000 0.0000 0.5000
Br: 0.5000 0.5000 0.2761
Br: 0.5000 0.5000 0.7239

Properties
Space group ... Cmmm, No. 65
ΔE_f (raw) ... -53 meV/atom
Spin magnetization ... 4.98 μB/cell
Mass density ... 3.816 g/cm³

=====

Entry 15:
VASP calculation (PBE) on a geometry-optimized KMoBr2 structure.

Lattice parameters (Å, degrees): 9.9337 9.9337 9.9337 20.17 20.17 20.17
Positions (direct):
K: 0.0000 0.0000 0.0000
Mo: 0.5000 0.5000 0.5000
Br: 0.4148 0.4148 0.4148
Br: 0.5851 0.5851 0.5851

Properties
Space group ... R-3m, No. 166
ΔE_f (raw) ... 91 meV/atom
Spin magnetization ... 0.09 μB/cell
Mass density ... 4.803 g/cm³

=====

Entry 16:
VASP calculation (PBE) on a geometry-optimized K2MoBr6 structure.

Lattice parameters (Å, degrees): 7.1389 7.1389 13.8618 90.00 90.00 90.00
Positions (direct):
K: 0.0000 0.0000 0.1680
K: 0.0000 0.0000 0.8320
K: 0.5000 0.5000 0.3320
K: 0.5000 0.5000 0.6680
Mo: 0.0000 0.0000 0.5000
Mo: 0.5000 0.5000 0.0000
Br: 0.1784 0.1784 0.3677
Br: 0.1784 0.1784 0.6323
Br: 0.2476 0.2476 0.0000
Br: 0.2524 0.7476 0.5000
Br: 0.3216 0.6784 0.1323
Br: 0.3216 0.6784 0.8677
Br: 0.6784 0.3216 0.1323
Br: 0.6784 0.3216 0.8677
Br: 0.7476 0.2524 0.5000
Br: 0.7524 0.7524 0.0000
Br: 0.8216 0.8216 0.3677
Br: 0.8216 0.8216 0.6323

Properties
Space group ... P4_2/mnm, No. 136
ΔE_f (raw) ... -1031 meV/atom
Spin magnetization ... 4.00 μB/cell
Mass density ... 3.072 g/cm³

=====

Entry 17:
VASP calculation (PBE) on a geometry-optimized KMoBr5 structure.

Lattice parameters (Å, degrees): 8.3361 8.3361 10.0982 108.27 108.27 54.40
Positions (direct):
K: 0.0302 0.9698 0.7500
K: 0.9698 0.0302 0.2500
Mo: 0.5000 0.5000 0.0000
Mo: 0.5000 0.5000 0.5000
Br: 0.1393 0.6071 0.4714
Br: 0.1446 0.5922 0.8933
Br: 0.3929 0.8607 0.0286
Br: 0.4006 0.5994 0.2500
Br: 0.4078 0.8554 0.6067
Br: 0.5922 0.1446 0.3933
Br: 0.5994 0.4006 0.7500
Br: 0.6071 0.1393 0.9714
Br: 0.8554 0.4078 0.1067
Br: 0.8607 0.3929 0.5286

Properties
Space group ... C2/c, No. 15
ΔE_f (raw) ... -803 meV/atom
Spin magnetization ... 4.00 μB/cell
Mass density ... 3.325 g/cm³

=====

Entry 18:
VASP calculation (PBE) on a geometry-optimized K2MoBr2 structure.

Lattice parameters (Å, degrees): 6.6777 6.6777 6.6777 119.93 119.93 90.11
Positions (direct):
K: 0.2500 0.7500 0.5000
K: 0.7500 0.2500 0.5000
Mo: 0.0000 0.0000 0.0000
Br: 0.2723 0.2723 0.0000
Br: 0.7277 0.7277 0.0000

Properties
Space group ... I4/mmm, No. 139
ΔE_f (raw) ... -275 meV/atom
Spin magnetization ... 4.00 μB/cell
Mass density ... 2.631 g/cm³

=====

Entry 19:
VASP calculation (PBE) on a geometry-optimized KMoBr2 structure.

Lattice parameters (Å, degrees): 3.9310 4.1098 7.3690 90.00 90.00 90.00
Positions (direct):
K: 0.0000 0.0000 0.0000
Mo: 0.0000 0.5000 0.5000
Br: 0.5000 0.5000 0.2545
Br: 0.5000 0.5000 0.7455

Properties
Space group ... Pmmm, No. 47
ΔE_f (raw) ... -137 meV/atom
Spin magnetization ... 3.31 μB/cell
Mass density ... 4.112 g/cm³

=====

Entry 20:
VASP calculation (PBE) on a geometry-optimized K5Mo2Br12 structure.

Lattice parameters (Å, degrees): 9.9604 9.9604 10.5691 106.93 106.93 46.51
Positions (direct):
K: 0.0000 0.0000 0.0000
K: 0.2928 0.2928 0.1213
K: 0.3116 0.3116 0.6786
K: 0.6884 0.6884 0.3214
K: 0.7072 0.7072 0.8787
Mo: 0.2500 0.7500 0.5000
Mo: 0.7500 0.2500 0.5000
Br: 0.0075 0.0075 0.6689
Br: 0.1057 0.6030 0.9282
Br: 0.1080 0.5983 0.4351
Br: 0.3970 0.8943 0.0718
Br: 0.4017 0.8920 0.5649
Br: 0.4932 0.4932 0.3279
Br: 0.5068 0.5068 0.6721
Br: 0.5983 0.1080 0.4351
Br: 0.6030 0.1057 0.9282
Br: 0.8920 0.4017 0.5649
Br: 0.8943 0.3970 0.0718
Br: 0.9925 0.9925 0.3311

Properties
Space group ... C2/m, No. 12
ΔE_f (raw) ... -1091 meV/atom
Spin magnetization ... 5.40 μB/cell
Mass density ... 3.098 g/cm³